Material: K2CaWO6
Method: DFT, PBE+U
State: optimized geometry

Cell lengths 6.0600, 6.0600, 6.0600 Å; angles 60.00, 60.00, 60.00 degrees
Fractional coordinates of all 10 atoms:
O1 0.2268 0.2268 0.7732
O2 0.7732 0.2268 0.2268
O3 0.7732 0.7732 0.2268
O4 0.2268 0.7732 0.2268
O5 0.7732 0.2268 0.7732
O6 0.2268 0.7732 0.7732
Ca1 0.5000 0.5000 0.5000
K1 0.7500 0.7500 0.7500
K2 0.2500 0.2500 0.2500
W1 0.0000 0.0000 0.0000

Volume (Å³/cell): 157
Magnetization (μB per cell): 2.01
E_tot (eV for the cell shown): -60.42
DOS(E_F) (states/eV/cell): 3.85
Crystal system: cubic